Entry from Alexandria: a PBEsol-optimized structure of LiFePO4 (SCAN).

CIF file:
```
data_LiFePO4
_symmetry_space_group_name_H-M 'P 1'
_symmetry_Int_Tables_number 1
_symmetry_space_group_name_Hall 'P 1'
_cell_length_a 7.287
_cell_length_b 7.287
_cell_length_c 9.554
_cell_angle_alpha 90.00
_cell_angle_beta 90.00
_cell_angle_gamma 120.00
loop_
_atom_site_label
_atom_site_fract_x
_atom_site_fract_y
_atom_site_fract_z
Li1 0.796 0.741 0.741
Li2 0.055 0.259 0.241
Li3 0.204 0.945 0.241
Li4 0.259 0.055 0.741
Li5 0.741 0.796 0.241
Li6 0.945 0.204 0.741
Fe1 0.081 0.596 0.015
Fe2 0.404 0.485 0.015
Fe3 0.515 0.919 0.015
Fe4 0.596 0.081 0.515
Fe5 0.485 0.404 0.515
Fe6 0.919 0.515 0.515
P1 0.667 0.333 0.826
P2 0.000 0.000 0.492
P3 0.667 0.333 0.210
P4 0.000 0.000 0.992
P5 0.333 0.667 0.710
P6 0.333 0.667 0.326
O1 0.448 0.294 0.873
O2 0.333 0.667 0.879
O3 0.106 0.877 0.051
O4 0.154 0.706 0.373
O5 0.294 0.448 0.373
O6 0.110 0.497 0.665
O7 0.894 0.771 0.551
O8 0.846 0.552 0.873
O9 0.890 0.387 0.165
O10 0.613 0.503 0.165
O11 0.667 0.333 0.659
O12 0.333 0.667 0.159
O13 0.667 0.333 0.379
O14 0.877 0.106 0.551
O15 0.706 0.154 0.873
O16 0.000 0.000 0.331
O17 0.771 0.894 0.051
O18 0.497 0.110 0.165
O19 0.552 0.846 0.373
O20 0.229 0.123 0.551
O21 0.387 0.890 0.665
O22 0.503 0.613 0.665
O23 0.000 0.000 0.831
O24 0.123 0.229 0.051
```

Values from the calculation:
The value obtained for the energy relative to the elements, uncorrected is -2.22 eV/atom.

=====

Entry from Alexandria: a PBEsol-optimized structure of GdGa (SCAN).

CIF file:
```
data_GdGa
_symmetry_space_group_name_H-M 'P 1'
_symmetry_Int_Tables_number 1
_symmetry_space_group_name_Hall 'P 1'
_cell_length_a 4.079
_cell_length_b 4.255
_cell_length_c 5.846
_cell_angle_alpha 68.66
_cell_angle_beta 90.00
_cell_angle_gamma 90.00
loop_
_atom_site_label
_atom_site_fract_x
_atom_site_fract_y
_atom_site_fract_z
Gd1 0.750 0.858 0.284
Gd2 0.250 0.142 0.716
Ga1 0.750 0.573 0.855
Ga2 0.250 0.427 0.145
```

Values from the calculation:
For the formation energy, the calculation gives -1.41 eV per formula unit.

=====

Entry from Alexandria: a PBEsol-optimized structure of CdSbTe2H (SCAN).

CIF file:
```
data_CdSbTe2H
_symmetry_space_group_name_H-M 'P 1'
_symmetry_Int_Tables_number 1
_symmetry_space_group_name_Hall 'P 1'
_cell_length_a 3.823
_cell_length_b 5.369
_cell_length_c 5.369
_cell_angle_alpha 90.00
_cell_angle_beta 90.00
_cell_angle_gamma 90.00
loop_
_atom_site_label
_atom_site_fract_x
_atom_site_fract_y
_atom_site_fract_z
Sb1 0.500 0.000 0.000
Te1 0.000 0.000 0.500
Te2 0.000 0.500 0.000
H1 0.000 0.000 0.000
Cd1 0.500 0.500 0.500
```

Values from the calculation:
For the final energy, the calculation gives -28.71 eV per atom.

=====

Entry from Alexandria: a PBEsol-optimized structure of CuSb2IrI (SCAN).

CIF file:
```
data_CuSb2IrI
_symmetry_space_group_name_H-M 'P 1'
_symmetry_Int_Tables_number 1
_symmetry_space_group_name_Hall 'P 1'
_cell_length_a 4.832
_cell_length_b 4.832
_cell_length_c 5.033
_cell_angle_alpha 90.00
_cell_angle_beta 90.00
_cell_angle_gamma 90.00
loop_
_atom_site_label
_atom_site_fract_x
_atom_site_fract_y
_atom_site_fract_z
I1 0.000 0.000 0.500
Sb1 0.000 0.500 0.000
Sb2 0.500 0.000 0.000
Ir1 0.500 0.500 0.500
Cu1 0.000 0.000 0.000
```

Values from the calculation:
The value obtained for the energy relative to the elements, uncorrected is 1.30 eV/atom.

=====

Entry from Alexandria: a PBEsol-optimized structure of Ba2CoAg (SCAN).

CIF file:
```
data_Ba2CoAg
_symmetry_space_group_name_H-M 'P 1'
_symmetry_Int_Tables_number 1
_symmetry_space_group_name_Hall 'P 1'
_cell_length_a 4.439
_cell_length_b 4.439
_cell_length_c 8.577
_cell_angle_alpha 75.00
_cell_angle_beta 75.00
_cell_angle_gamma 60.00
loop_
_atom_site_label
_atom_site_fract_x
_atom_site_fract_y
_atom_site_fract_z
Co1 0.542 0.542 0.374
Ba1 0.959 0.959 0.122
Ba2 0.791 0.791 0.628
Ag1 0.208 0.208 0.375
```

Values from the calculation:
For the formation energy, the calculation gives 0.81 eV per formula unit.

=====

Entry from Alexandria: a PBEsol-optimized structure of Li3BiP2O8 (SCAN).

CIF file:
```
data_Li3BiP2O8
_symmetry_space_group_name_H-M 'P 1'
_symmetry_Int_Tables_number 1
_symmetry_space_group_name_Hall 'P 1'
_cell_length_a 4.652
_cell_length_b 5.084
_cell_length_c 15.088
_cell_angle_alpha 96.92
_cell_angle_beta 90.00
_cell_angle_gamma 117.23
loop_
_atom_site_label
_atom_site_fract_x
_atom_site_fract_y
_atom_site_fract_z
Li1 0.624 0.342 0.180
Li2 0.718 0.342 0.680
Li3 0.282 0.658 0.320
Li4 0.376 0.658 0.820
Li5 0.939 0.000 0.250
Li6 0.061 0.000 0.750
Bi1 0.000 0.000 0.000
Bi2 0.000 0.000 0.500
P1 0.611 0.311 0.373
P2 0.700 0.311 0.873
P3 0.300 0.689 0.127
P4 0.389 0.689 0.627
O1 0.257 0.051 0.352
O2 0.794 0.051 0.852
O3 0.744 0.255 0.458
O4 0.511 0.255 0.958
O5 0.823 0.324 0.293
O6 0.985 0.388 0.106
O7 0.502 0.324 0.793
O8 0.403 0.388 0.606
O9 0.597 0.612 0.394
O10 0.498 0.676 0.207
O11 0.015 0.612 0.894
O12 0.177 0.676 0.707
O13 0.489 0.745 0.042
O14 0.256 0.745 0.542
O15 0.206 0.949 0.148
O16 0.743 0.949 0.648
```

Values from the calculation:
The value obtained for the energy relative to the elements, uncorrected is -2.33 eV/atom.

=====

Entry from Alexandria: a PBEsol-optimized structure of TiTlPO5 (SCAN).

CIF file:
```
data_TiTlPO5
_symmetry_space_group_name_H-M 'P 1'
_symmetry_Int_Tables_number 1
_symmetry_space_group_name_Hall 'P 1'
_cell_length_a 6.474
_cell_length_b 10.584
_cell_length_c 12.921
_cell_angle_alpha 90.00
_cell_angle_beta 90.00
_cell_angle_gamma 90.00
loop_
_atom_site_label
_atom_site_fract_x
_atom_site_fract_y
_atom_site_fract_z
Ti1 0.236 0.255 0.744
Ti2 0.736 0.755 0.756
Ti3 0.264 0.255 0.244
Ti4 0.001 0.506 0.129
Ti5 0.999 0.006 0.871
Ti6 0.499 0.506 0.629
Ti7 0.764 0.755 0.256
Ti8 0.501 0.006 0.371
Tl1 0.690 0.069 0.104
Tl2 0.310 0.569 0.896
Tl3 0.810 0.069 0.604
Tl4 0.190 0.569 0.396
Tl5 0.786 0.324 0.380
Tl6 0.214 0.824 0.620
Tl7 0.714 0.324 0.880
Tl8 0.286 0.824 0.120
P1 0.838 0.761 0.002
P2 0.162 0.261 0.998
P3 0.338 0.261 0.498
P4 0.506 0.513 0.182
P5 0.494 0.013 0.818
P6 0.994 0.513 0.682
P7 0.006 0.013 0.318
P8 0.662 0.761 0.502
O1 0.466 0.141 0.277
O2 0.534 0.641 0.723
O3 0.034 0.141 0.777
O4 0.966 0.641 0.223
O5 0.552 0.887 0.278
O6 0.448 0.387 0.722
O7 0.948 0.887 0.778
O8 0.052 0.387 0.222
O9 0.964 0.897 0.248
O10 0.036 0.397 0.752
O11 0.536 0.897 0.748
O12 0.464 0.397 0.252
O13 0.044 0.127 0.245
O14 0.956 0.627 0.755
O15 0.456 0.127 0.745
O16 0.697 0.740 0.906
O17 0.544 0.627 0.255
O18 0.803 0.487 0.614
O19 0.303 0.987 0.886
O20 0.697 0.487 0.114
O21 0.815 0.042 0.385
O22 0.185 0.542 0.615
O23 0.685 0.042 0.885
O24 0.315 0.542 0.115
O25 0.489 0.149 0.486
O26 0.511 0.649 0.514
O27 0.011 0.149 0.986
O28 0.989 0.649 0.014
O29 0.461 0.386 0.511
O30 0.539 0.886 0.489
O31 0.039 0.386 0.011
O32 0.961 0.886 0.989
O33 0.205 0.277 0.399
O34 0.795 0.777 0.601
O35 0.295 0.277 0.899
O36 0.705 0.777 0.101
O37 0.197 0.240 0.594
O38 0.803 0.740 0.406
O39 0.303 0.240 0.094
O40 0.197 0.987 0.386
```

Values from the calculation:
The value obtained for the energy relative to the elements, uncorrected is -2.59 eV/atom.

=====

Entry from Alexandria: a PBEsol-optimized structure of HfAg (SCAN).

CIF file:
```
data_HfAg
_symmetry_space_group_name_H-M 'P 1'
_symmetry_Int_Tables_number 1
_symmetry_space_group_name_Hall 'P 1'
_cell_length_a 3.389
_cell_length_b 3.389
_cell_length_c 6.511
_cell_angle_alpha 90.00
_cell_angle_beta 90.00
_cell_angle_gamma 90.00
loop_
_atom_site_label
_atom_site_fract_x
_atom_site_fract_y
_atom_site_fract_z
Hf1 0.000 0.500 0.858
Hf2 0.500 0.000 0.142
Ag1 0.000 0.500 0.385
Ag2 0.500 0.000 0.615
```

Values from the calculation:
For the formation energy, the calculation gives -0.28 eV per formula unit.

=====

Entry from Alexandria: a PBEsol-optimized structure of Y5Co4Ge10 (SCAN).

CIF file:
```
data_Y5Co4Ge10
_symmetry_space_group_name_H-M 'P 1'
_symmetry_Int_Tables_number 1
_symmetry_space_group_name_Hall 'P 1'
_cell_length_a 4.138
_cell_length_b 12.589
_cell_length_c 12.589
_cell_angle_alpha 90.00
_cell_angle_beta 90.00
_cell_angle_gamma 90.00
loop_
_atom_site_label
_atom_site_fract_x
_atom_site_fract_y
_atom_site_fract_z
Y1 0.500 0.110 0.610
Y2 0.500 0.890 0.390
Y3 0.500 0.610 0.890
Y4 0.500 0.390 0.110
Y5 0.500 0.678 0.178
Y6 0.500 0.322 0.822
Y7 0.500 0.178 0.322
Y8 0.500 0.822 0.678
Y9 0.000 0.000 0.000
Y10 0.000 0.500 0.500
Co1 0.000 0.026 0.245
Co2 0.000 0.974 0.755
Co3 0.000 0.245 0.974
Co4 0.000 0.526 0.255
Co5 0.000 0.755 0.026
Co6 0.000 0.474 0.745
Co7 0.000 0.745 0.526
Co8 0.000 0.255 0.474
Ge1 0.000 0.570 0.070
Ge2 0.000 0.430 0.930
Ge3 0.000 0.070 0.430
Ge4 0.000 0.930 0.570
Ge5 0.000 0.198 0.154
Ge6 0.000 0.802 0.846
Ge7 0.000 0.154 0.802
Ge8 0.000 0.698 0.346
Ge9 0.000 0.846 0.198
Ge10 0.000 0.302 0.654
Ge11 0.000 0.654 0.698
Ge12 0.000 0.346 0.302
Ge13 0.500 0.003 0.166
Ge14 0.500 0.997 0.834
Ge15 0.500 0.166 0.997
Ge16 0.500 0.503 0.334
Ge17 0.500 0.834 0.003
Ge18 0.500 0.497 0.666
Ge19 0.500 0.666 0.503
Ge20 0.500 0.334 0.497
```

Values from the calculation:
For the formation energy, the calculation gives -13.52 eV per formula unit.

=====

Entry from Alexandria: a PBEsol-optimized structure of PmBiAu2 (SCAN).

CIF file:
```
data_PmBiAu2
_symmetry_space_group_name_H-M 'P 1'
_symmetry_Int_Tables_number 1
_symmetry_space_group_name_Hall 'P 1'
_cell_length_a 5.061
_cell_length_b 5.061
_cell_length_c 5.061
_cell_angle_alpha 60.00
_cell_angle_beta 60.00
_cell_angle_gamma 60.00
loop_
_atom_site_label
_atom_site_fract_x
_atom_site_fract_y
_atom_site_fract_z
Au1 0.750 0.750 0.750
Au2 0.250 0.250 0.250
Bi1 0.500 0.500 0.500
Pm1 0.000 0.000 0.000
```

Values from the calculation:
For the formation energy, the calculation gives -2.92 eV per formula unit.

=====

Entry from Alexandria: a PBEsol-optimized structure of FeMoOs (SCAN).

CIF file:
```
data_FeMoOs
_symmetry_space_group_name_H-M 'P 1'
_symmetry_Int_Tables_number 1
_symmetry_space_group_name_Hall 'P 1'
_cell_length_a 2.658
_cell_length_b 3.788
_cell_length_c 4.623
_cell_angle_alpha 114.18
_cell_angle_beta 106.70
_cell_angle_gamma 90.00
loop_
_atom_site_label
_atom_site_fract_x
_atom_site_fract_y
_atom_site_fract_z
Fe1 0.995 0.995 0.990
Mo1 0.666 0.666 0.331
Os1 0.339 0.339 0.679
```

Values from the calculation:
For the formation energy, the calculation gives 0.33 eV per formula unit.

=====

Entry from Alexandria: a PBEsol-optimized structure of Cu5Pt (SCAN).

CIF file:
```
data_Cu5Pt
_symmetry_space_group_name_H-M 'P 1'
_symmetry_Int_Tables_number 1
_symmetry_space_group_name_Hall 'P 1'
_cell_length_a 2.659
_cell_length_b 4.902
_cell_length_c 6.006
_cell_angle_alpha 105.85
_cell_angle_beta 90.00
_cell_angle_gamma 105.73
loop_
_atom_site_label
_atom_site_fract_x
_atom_site_fract_y
_atom_site_fract_z
Cu1 0.001 0.002 0.013
Cu2 0.388 0.776 0.278
Cu3 0.670 0.341 0.344
Cu4 0.049 0.098 0.595
Cu5 0.341 0.682 0.669
Pt1 0.717 0.434 0.935
```

Values from the calculation:
For the formation energy, the calculation gives -0.42 eV per formula unit.

=====

Number 1: density 3.577 g/cm³. Number 2: density 7.975 g/cm³. Number 3: density 7.391 g/cm³. Number 4: density 8.850 g/cm³. Number 5: density 5.248 g/cm³. Number 6: density 4.434 g/cm³. Number 7: density 5.449 g/cm³. Number 8: density 12.719 g/cm³. Number 9: density 7.124 g/cm³. Number 10: density 13.551 g/cm³. Number 11: density 14.094 g/cm³. Number 12: density 11.787 g/cm³.